# 1
Mg3TeS | PBE-GGA | optimized geometry Values from VASP.

Quantum ESPRESSO input file:
```
&SYSTEM
  ibrav = 0, nat = 5, ntyp = 3
/
ATOMIC_SPECIES
Mg 24.30 Mg.upf
Te 127.60 Te.upf
S 32.06 S.upf
CELL_PARAMETERS angstrom
5.482 0.000 0.000
0.000 5.482 0.000
0.000 0.000 5.482
ATOMIC_POSITIONS crystal
Mg 0.000 0.000 0.500
Mg 0.000 0.500 0.000
Mg 0.500 0.000 0.000
Te 0.000 0.000 0.000
S 0.500 0.500 0.500
```

## Properties
For the uncorrected formation energy, the calculation gives 269 meV/atom. The density of states at the Fermi level comes out at 2.45 states/eV/cell. Its size of the total moment is 0.0 μB/cell. As for the energy above the most stable polymorph in this dataset: 646.9 meV/atom.



# 2
Sr2Cd3InAu4 | PBE-GGA | optimized geometry Values from VASP.

Quantum ESPRESSO input file:
```
&SYSTEM
  ibrav = 0, nat = 10, ntyp = 4
/
ATOMIC_SPECIES
Au 196.97 Au.upf
Cd 112.41 Cd.upf
In 114.82 In.upf
Sr 87.62 Sr.upf
CELL_PARAMETERS angstrom
-3.739 -1.374 -2.885
-2.852 -0.569 3.967
-3.150 10.246 -0.797
ATOMIC_POSITIONS crystal
Au 0.000 0.000 0.000
Au 0.500 0.000 0.625
Au 0.000 0.500 0.375
Au 0.500 0.500 0.000
Cd 0.000 0.000 0.500
Cd 0.000 0.500 0.123
Cd 0.500 0.000 0.877
In 0.500 0.500 0.500
Sr 0.000 0.500 0.767
Sr 0.500 0.000 0.233
```

## Properties
The formation enthalpy at 0 K is -0.463 eV/atom. The density of states at the Fermi level comes out at 4.17 states/eV/cell. Its size of the total moment is 0.0 μB/cell.



# 3
MgBe2Au | PBE-GGA | optimized geometry Values from VASP.

Quantum ESPRESSO input file:
```
&SYSTEM
  ibrav = 0, nat = 4, ntyp = 3
/
ATOMIC_SPECIES
Mg 24.30 Mg.upf
Be 9.01 Be.upf
Au 196.97 Au.upf
CELL_PARAMETERS angstrom
-0.479 8.385 0.204
-2.291 7.732 2.352
0.547 7.882 2.853
ATOMIC_POSITIONS crystal
Mg 0.250 0.250 0.250
Be 0.008 0.008 0.008
Be 0.492 0.492 0.492
Au 0.750 0.750 0.750
```

## Properties
The formation enthalpy at 0 K is 0.326 eV/atom. The density of states at the Fermi level comes out at 1.63 states/eV/cell. Its size of the total moment is 0.0 μB/cell.



# 4
HoLuBeIr | PBE-GGA | optimized geometry Values from VASP.

Quantum ESPRESSO input file:
```
&SYSTEM
  ibrav = 0, nat = 4, ntyp = 4
/
ATOMIC_SPECIES
Ho 164.93 Ho.upf
Lu 174.97 Lu.upf
Ir 192.22 Ir.upf
Be 9.01 Be.upf
CELL_PARAMETERS angstrom
-0.231 -1.365 4.573
2.930 -3.406 1.627
3.535 1.127 3.011
ATOMIC_POSITIONS crystal
Ho 0.500 0.500 0.500
Lu 0.000 0.000 0.000
Ir 0.250 0.250 0.250
Be 0.750 0.750 0.750
```

## Properties
The formation enthalpy at 0 K is -0.467 eV/atom. The density of states at the Fermi level comes out at 2.51 states/eV/cell. Its size of the total moment is 0.0 μB/cell.



# 5
Er4Sc | PBE-GGA | optimized geometry Values from VASP.

Quantum ESPRESSO input file:
```
&SYSTEM
  ibrav = 0, nat = 5, ntyp = 2
/
ATOMIC_SPECIES
Er 167.26 Er.upf
Sc 44.96 Sc.upf
CELL_PARAMETERS angstrom
-2.751 -4.124 -2.315
-1.153 -2.012 4.955
-4.587 2.979 0.143
ATOMIC_POSITIONS crystal
Er 0.500 0.500 0.000
Er 0.000 0.500 0.500
Er 0.000 0.000 0.000
Er 0.500 0.000 0.500
Sc 0.500 0.500 0.500
```

## Properties
The formation enthalpy at 0 K is 0.620 eV/atom. The density of states at the Fermi level comes out at 6.98 states/eV/cell. Its size of the total moment is 0.6 μB/cell. As for the energy above the most stable polymorph in this dataset: 578.5 meV/atom.



# 6
Li2CuSi | PBE-GGA | optimized geometry Values from VASP.

Quantum ESPRESSO input file:
```
&SYSTEM
  ibrav = 0, nat = 4, ntyp = 3
/
ATOMIC_SPECIES
Si 28.09 Si.upf
Cu 63.55 Cu.upf
Li 6.94 Li.upf
CELL_PARAMETERS angstrom
-3.608 -0.599 1.988
-0.936 -1.401 -2.121
1.731 -4.052 1.919
ATOMIC_POSITIONS crystal
Si 0.000 0.625 0.497
Cu 0.500 0.625 0.749
Li 0.500 0.124 0.281
Li 0.000 0.126 0.973
```

## Properties
For the uncorrected formation energy, the calculation gives -144 meV/atom. The density of states at the Fermi level comes out at 0.94 states/eV/cell. Its size of the total moment is 0.0 μB/cell.



# 7
K2RbAg | PBE-GGA | optimized geometry Values from VASP.

Quantum ESPRESSO input file:
```
&SYSTEM
  ibrav = 0, nat = 4, ntyp = 3
/
ATOMIC_SPECIES
K 39.10 K.upf
Rb 85.47 Rb.upf
Ag 107.87 Ag.upf
CELL_PARAMETERS angstrom
4.722 0.000 0.000
2.361 4.089 0.000
2.361 1.363 14.326
ATOMIC_POSITIONS crystal
K 0.927 0.927 0.218
K 0.073 0.073 0.782
Rb 0.500 0.500 0.500
Ag 0.000 0.000 0.000
```

## Properties
The formation enthalpy at 0 K is 0.313 eV/atom. The density of states at the Fermi level comes out at 2.55 states/eV/cell. Its size of the total moment is 0.0 μB/cell. As for the energy above the most stable polymorph in this dataset: 279.7 meV/atom.



# 8
In2Sb2Se | PBE-GGA | optimized geometry Values from VASP.

Quantum ESPRESSO input file:
```
&SYSTEM
  ibrav = 0, nat = 10, ntyp = 3
/
ATOMIC_SPECIES
Sb 121.76 Sb.upf
Se 78.96 Se.upf
In 114.82 In.upf
CELL_PARAMETERS angstrom
8.068 0.000 0.000
0.000 8.068 0.000
0.000 0.000 4.325
ATOMIC_POSITIONS crystal
Sb 0.328 0.828 0.000
Sb 0.672 0.172 0.000
Sb 0.828 0.672 0.000
Sb 0.172 0.328 0.000
Se 0.500 0.500 0.000
Se 0.000 0.000 0.000
In 0.860 0.360 0.500
In 0.640 0.860 0.500
In 0.140 0.640 0.500
In 0.360 0.140 0.500
```

## Properties
For the uncorrected formation energy, the calculation gives 53 meV/atom. The density of states at the Fermi level comes out at 4.73 states/eV/cell. Its size of the total moment is 0.0 μB/cell. As for the energy above the most stable polymorph in this dataset: 0.0 meV/atom.



# 9
LaEuZnAg | PBE-GGA | optimized geometry Values from VASP.

Quantum ESPRESSO input file:
```
&SYSTEM
  ibrav = 0, nat = 4, ntyp = 4
/
ATOMIC_SPECIES
Ag 107.87 Ag.upf
La 138.91 La.upf
Zn 65.41 Zn.upf
Eu 151.96 Eu.upf
CELL_PARAMETERS angstrom
-4.336 1.148 -2.934
-4.880 -0.308 2.195
-2.788 4.473 0.974
ATOMIC_POSITIONS crystal
Ag 0.250 0.250 0.250
La 0.000 0.000 0.000
Zn 0.750 0.750 0.750
Eu 0.500 0.500 0.500
```

## Properties
The formation enthalpy at 0 K is -0.275 eV/atom. The density of states at the Fermi level comes out at 7.27 states/eV/cell. Its size of the total moment is 7.3 μB/cell.



# 10
Tb7Ho3Th2 | PBE-GGA | optimized geometry Values from VASP.

Quantum ESPRESSO input file:
```
&SYSTEM
  ibrav = 0, nat = 12, ntyp = 3
/
ATOMIC_SPECIES
Tb 158.93 Tb.upf
Ho 164.93 Ho.upf
Th 232.04 Th.upf
CELL_PARAMETERS angstrom
-1.579 -3.111 -0.759
3.976 -2.923 3.705
-8.312 -1.751 16.083
ATOMIC_POSITIONS crystal
Tb 0.584 0.973 0.833
Tb 0.916 0.532 0.166
Tb 0.750 0.257 0.500
Tb 0.000 0.000 0.000
Tb 0.416 0.027 0.167
Tb 0.250 0.743 0.500
Tb 0.084 0.468 0.834
Ho 0.500 0.500 0.000
Ho 0.167 0.941 0.666
Ho 0.833 0.059 0.334
Th 0.334 0.553 0.333
Th 0.666 0.447 0.667
```

## Properties
The formation enthalpy at 0 K is 0.032 eV/atom. The density of states at the Fermi level comes out at 15.56 states/eV/cell. Its size of the total moment is 0.0 μB/cell. As for the energy above the most stable polymorph in this dataset: 0.0 meV/atom.



# 11
Zr4TlAu | PBE-GGA | optimized geometry Values from VASP.

Quantum ESPRESSO input file:
```
&SYSTEM
  ibrav = 0, nat = 6, ntyp = 3
/
ATOMIC_SPECIES
Au 196.97 Au.upf
Zr 91.22 Zr.upf
Tl 204.38 Tl.upf
CELL_PARAMETERS angstrom
4.824 0.000 0.000
-2.412 5.745 -0.881
0.000 0.730 4.755
ATOMIC_POSITIONS crystal
Au 0.500 0.000 0.500
Zr 0.163 0.326 0.500
Zr 0.837 0.674 0.500
Zr 0.337 0.673 0.000
Zr 0.663 0.327 0.000
Tl 0.000 0.000 0.000
```

## Properties
The formation enthalpy at 0 K is -0.197 eV/atom. The density of states at the Fermi level comes out at 5.95 states/eV/cell. Its size of the total moment is 0.0 μB/cell. As for the energy above the most stable polymorph in this dataset: 0.0 meV/atom.



# 12
Tm5Rh2 | PBE-GGA | optimized geometry Values from VASP.

Quantum ESPRESSO input file:
```
&SYSTEM
  ibrav = 0, nat = 14, ntyp = 2
/
ATOMIC_SPECIES
Rh 102.91 Rh.upf
Tm 168.93 Tm.upf
CELL_PARAMETERS angstrom
6.330 0.000 0.000
0.000 7.088 0.041
-3.165 -1.039 7.809
ATOMIC_POSITIONS crystal
Rh 0.401 0.073 0.222
Rh 0.179 0.427 0.778
Rh 0.599 0.927 0.778
Rh 0.821 0.573 0.222
Tm 0.648 0.813 0.438
Tm 0.980 0.918 0.188
Tm 0.020 0.082 0.812
Tm 0.425 0.750 0.000
Tm 0.210 0.687 0.562
Tm 0.575 0.250 0.000
Tm 0.792 0.582 0.812
Tm 0.208 0.418 0.188
Tm 0.352 0.187 0.562
Tm 0.790 0.313 0.438
```

## Properties
The formation enthalpy at 0 K is -0.643 eV/atom. The density of states at the Fermi level comes out at 13.55 states/eV/cell. Its size of the total moment is 0.0 μB/cell.



# 13
KTcAg | PBE-GGA | optimized geometry Values from VASP.

Quantum ESPRESSO input file:
```
&SYSTEM
  ibrav = 0, nat = 3, ntyp = 3
/
ATOMIC_SPECIES
Ag 107.87 Ag.upf
Tc 98.00 Tc.upf
K 39.10 K.upf
CELL_PARAMETERS angstrom
-1.377 2.483 -0.438
-0.239 -1.349 2.525
6.664 4.204 2.878
ATOMIC_POSITIONS crystal
Ag 0.000 0.000 0.974
Tc 0.333 0.667 0.688
K 0.667 0.333 0.338
```

## Properties
The formation enthalpy at 0 K is 0.964 eV/atom. The density of states at the Fermi level comes out at 2.83 states/eV/cell. Its size of the total moment is 0.0 μB/cell. As for the energy above the most stable polymorph in this dataset: 34.0 meV/atom.



# 14
Al2CdSn | PBE-GGA | optimized geometry Values from VASP.

Quantum ESPRESSO input file:
```
&SYSTEM
  ibrav = 0, nat = 4, ntyp = 3
/
ATOMIC_SPECIES
Sn 118.71 Sn.upf
Cd 112.41 Cd.upf
Al 26.98 Al.upf
CELL_PARAMETERS angstrom
-2.715 1.521 -0.459
-2.228 -0.054 2.221
2.497 9.207 4.956
ATOMIC_POSITIONS crystal
Sn 0.500 0.500 0.500
Cd 0.000 0.000 0.000
Al 0.088 0.088 0.735
Al 0.912 0.912 0.265
```

## Properties
The formation enthalpy at 0 K is 0.238 eV/atom. The density of states at the Fermi level comes out at 1.19 states/eV/cell. Its size of the total moment is 0.0 μB/cell.



# 15
CoAuCl6 | PBE-GGA | optimized geometry Values from VASP.

Quantum ESPRESSO input file:
```
&SYSTEM
  ibrav = 0, nat = 8, ntyp = 3
/
ATOMIC_SPECIES
Co 58.93 Co.upf
Cl 35.45 Cl.upf
Au 196.97 Au.upf
CELL_PARAMETERS angstrom
-3.261 -0.233 -6.067
2.320 -3.258 -5.036
-4.696 -5.144 -1.192
ATOMIC_POSITIONS crystal
Co 0.000 0.000 0.500
Cl 0.845 0.296 0.241
Cl 0.859 0.296 0.759
Cl 0.356 0.000 0.324
Cl 0.141 0.704 0.241
Cl 0.644 0.000 0.676
Cl 0.155 0.704 0.759
Au 0.000 0.000 0.000
```

## Properties
For the uncorrected formation energy, the calculation gives -327 meV/atom. The density of states at the Fermi level comes out at 6.40 states/eV/cell. Its size of the total moment is 2.0 μB/cell.



# 16
TeRuCl | PBE-GGA | optimized geometry Values from VASP.

Quantum ESPRESSO input file:
```
&SYSTEM
  ibrav = 0, nat = 6, ntyp = 3
/
ATOMIC_SPECIES
Te 127.60 Te.upf
Ru 101.07 Ru.upf
Cl 35.45 Cl.upf
CELL_PARAMETERS angstrom
-2.281 -1.893 -1.872
0.214 -3.374 3.150
-5.823 4.793 5.529
ATOMIC_POSITIONS crystal
Te 0.341 0.380 0.683
Te 0.659 0.880 0.317
Ru 0.791 0.743 0.583
Ru 0.209 0.243 0.417
Cl 0.916 0.917 0.833
Cl 0.084 0.417 0.167
```

## Properties
For the uncorrected formation energy, the calculation gives -79 meV/atom. The density of states at the Fermi level comes out at 5.16 states/eV/cell. Its size of the total moment is 1.3 μB/cell.



# 17
Zr3MnW | PBE-GGA | optimized geometry Values from VASP.

Quantum ESPRESSO input file:
```
&SYSTEM
  ibrav = 0, nat = 5, ntyp = 3
/
ATOMIC_SPECIES
Mn 54.94 Mn.upf
Zr 91.22 Zr.upf
W 183.84 W.upf
CELL_PARAMETERS angstrom
5.036 0.000 0.000
0.000 5.036 0.000
0.000 0.000 5.036
ATOMIC_POSITIONS crystal
Mn 0.500 0.500 0.500
Zr 0.000 0.500 0.000
Zr 0.000 0.000 0.500
Zr 0.500 0.000 0.000
W 0.000 0.000 0.000
```

## Properties
The formation enthalpy at 0 K is 1.438 eV/atom. The density of states at the Fermi level comes out at 7.15 states/eV/cell. Its size of the total moment is 0.2 μB/cell. As for the energy above the most stable polymorph in this dataset: 616.7 meV/atom.